1.
The following is a DFT calculation (PBE) of crystalline SrAlCo at its relaxed geometry.

Results
mass density: 3.34 g/cm3

Cell and atoms, written as CIF:
```
data_SrAlCo
_space_group_name_H-M_alt 'F -4 3 m'
_space_group_IT_number 216
_space_group_name_Hall 'F -4 2 3'
_cell_length_a 7.012
_cell_length_b 7.012
_cell_length_c 7.012
_cell_angle_alpha 90.00
_cell_angle_beta 90.00
_cell_angle_gamma 90.00
loop_
_atom_site_label
_atom_site_type_symbol
_atom_site_fract_x
_atom_site_fract_y
_atom_site_fract_z
Sr1 Sr 0.000 0.000 0.000
Al1 Al 0.250 0.250 0.750
Co1 Co 0.250 0.250 0.250
```

=====

2.
The following is a DFT calculation (PBE) of crystalline SrAl9Co2 at its relaxed geometry.

Results
mass density: 3.53 g/cm3

Cell and atoms, written as CIF:
```
data_SrAl9Co2
_space_group_name_H-M_alt 'P 6/m m m'
_space_group_IT_number 191
_space_group_name_Hall '-P 6 2'
_cell_length_a 7.8947
_cell_length_b 7.8947
_cell_length_c 3.9114
_cell_angle_alpha 90.00
_cell_angle_beta 90.00
_cell_angle_gamma 120.00
loop_
_atom_site_label
_atom_site_type_symbol
_atom_site_fract_x
_atom_site_fract_y
_atom_site_fract_z
Sr1 Sr 0.0000 0.0000 0.0000
Al1 Al 0.0000 0.5000 0.0000
Al2 Al 0.2138 0.4275 0.5000
Co1 Co 0.3333 0.6667 0.0000
```

=====

3.
The following is a DFT calculation (PBE) of crystalline SrAlCo at its relaxed geometry.

Results
mass density: 4.20 g/cm3

Cell and atoms, written as CIF:
```
data_SrAlCo
_space_group_name_H-M_alt 'F -4 3 m'
_space_group_IT_number 216
_space_group_name_Hall 'F -4 2 3'
_cell_length_a 6.501
_cell_length_b 6.501
_cell_length_c 6.501
_cell_angle_alpha 90.00
_cell_angle_beta 90.00
_cell_angle_gamma 90.00
loop_
_atom_site_label
_atom_site_type_symbol
_atom_site_fract_x
_atom_site_fract_y
_atom_site_fract_z
Sr1 Sr 0.000 0.000 0.000
Al1 Al 0.000 0.000 0.500
Co1 Co 0.250 0.250 0.750
```

=====

Which raw total energy belongs to each record? In order, -3.009, -4.542, -3.828 eV per atom.
Which size of the total moment belongs to each record? In order, 3.5, 0.0, 0.0 Bohr magnetons per cell.
Which volume belongs to each record? In order, 28.73, 17.59, 22.89 A^3/atom.